Here is MnGaHOs after structural relaxation from Alexandria via LeMat-Bulk. Energies are from GGA-PBE.

Output
- M_tot (μB per formula unit) = 0.709
- electronic total energy (eV/cell) = -26.65
- offset from the most stable computed form (meV/atom) = 12.1

Cell: 2.754 2.820 5.886 Å, 90.00 103.14 90.00°
Space group Pm (No. 6)
Asymmetric unit:
Mn1 0.000 0.000 0.000 (multiplicity 1)
Ga1 0.349 0.500 0.696 (multiplicity 1)
H1 0.723 0.000 0.457 (multiplicity 1)
Os1 0.630 0.500 0.268 (multiplicity 1)